## YMgH (PBE)

Data for YMgH after structural relaxation.

a = 3.5770 Å, b = 10.9060 Å, c = 12.3422 Å
α = 77.60°, β = 90.00°, γ = 90.00°
Atoms (fractional coordinates):
1 Y 0.0000 0.7890 0.0516
2 Y 0.0000 0.9086 0.5101
3 Y 0.5000 0.9656 0.2260
4 Y 0.5000 0.8420 0.8020
5 Y 0.0000 0.3905 0.4765
6 Y 0.0000 0.5143 0.9548
7 Y 0.5000 0.1698 0.3797
8 Y 0.5000 0.3841 0.7370
9 H 0.5000 0.9610 0.4133
10 H 0.5000 0.8834 0.9743
11 H 0.0000 0.9534 0.1256
12 H 0.0000 0.8320 0.6955
13 H 0.5000 0.3773 0.3737
14 H 0.5000 0.4284 0.9030
15 H 0.0000 0.3182 0.6600
16 H 0.0000 0.0434 0.3281
17 Mg 0.0000 0.7041 0.3152
18 Mg 0.0000 0.6431 0.6999
19 Mg 0.5000 0.5193 0.2092
20 Mg 0.5000 0.6373 0.5108
21 Mg 0.0000 0.2838 0.1716
22 Mg 0.0000 0.0864 0.8572
23 Mg 0.5000 0.2387 0.9928
24 Mg 0.5000 0.1263 0.6320

The calculation puts the magnetic moment at 0.000 μB/cell. Its space group is Pm. As for the energy above the most stable polymorph in this dataset: 0.00 kJ per mole of atoms. The final energy is -4.020 eV/atom. The calculation puts the density of states at the Fermi level at 1.9 states/eV/f.u.



## Sm3Te12Au5 (PBE)

Data for Sm3Te12Au5 after structural relaxation.

a = 14.9780 Å, b = 14.9780 Å, c = 14.9780 Å
α = 109.47°, β = 109.47°, γ = 109.47°
Atoms (fractional coordinates):
1 Sm 0.7500 0.3750 0.1250
2 Sm 0.8750 0.7500 0.1250
3 Sm 0.3750 0.7500 0.6250
4 Sm 0.2500 0.1250 0.3750
5 Sm 0.8750 0.1250 0.2500
6 Sm 0.3750 0.6250 0.2500
7 Sm 0.6250 0.3750 0.7500
8 Sm 0.1250 0.8750 0.7500
9 Sm 0.7500 0.8750 0.6250
10 Sm 0.6250 0.2500 0.3750
11 Sm 0.1250 0.2500 0.8750
12 Sm 0.2500 0.6250 0.8750
13 Au 0.1250 0.3750 0.2500
14 Au 0.0000 0.5000 0.0000
15 Au 0.0000 0.0000 0.0000
16 Au 0.3750 0.2500 0.1250
17 Au 0.5000 0.0000 0.5000
18 Au 0.5000 0.5000 0.0000
19 Au 0.1250 0.7500 0.3750
20 Au 0.7500 0.1250 0.8750
21 Au 0.7500 0.6250 0.3750
22 Au 0.3750 0.1250 0.7500
23 Au 0.6250 0.8750 0.2500
24 Au 0.5000 0.5000 0.5000
25 Au 0.5000 0.0000 0.0000
26 Au 0.0000 0.0000 0.5000
27 Au 0.2500 0.3750 0.6250
28 Au 0.2500 0.8750 0.1250
29 Au 0.0000 0.5000 0.5000
30 Au 0.8750 0.2500 0.6250
31 Au 0.6250 0.7500 0.8750
32 Au 0.8750 0.6250 0.7500
33 Te 0.7118 0.1301 0.0415
34 Te 0.3297 0.5415 0.4114
35 Te 0.9585 0.3699 0.2882
36 Te 0.5415 0.2118 0.1301
37 Te 0.5816 0.7118 0.6703
38 Te 0.9585 0.5886 0.1703
39 Te 0.3297 0.7882 0.4184
40 Te 0.0886 0.9184 0.1301
41 Te 0.5886 0.9585 0.6703
42 Te 0.7118 0.5816 0.1703
43 Te 0.7882 0.4585 0.3699
44 Te 0.8297 0.9114 0.0415
45 Te 0.1301 0.7118 0.5415
46 Te 0.3699 0.4114 0.0816
47 Te 0.0816 0.9114 0.3699
48 Te 0.4184 0.1301 0.5886
49 Te 0.0816 0.1703 0.2118
50 Te 0.4585 0.6703 0.0886
51 Te 0.8297 0.9184 0.2882
52 Te 0.1301 0.4184 0.0886
53 Te 0.3699 0.9585 0.7882
54 Te 0.5886 0.6301 0.4184
55 Te 0.9114 0.8297 0.5415
56 Te 0.7882 0.3297 0.9184
57 Te 0.4114 0.3699 0.5816
58 Te 0.0886 0.1703 0.4585
59 Te 0.2118 0.6703 0.0816
60 Te 0.1703 0.0816 0.7118
61 Te 0.6301 0.0415 0.2118
62 Te 0.8699 0.5816 0.9114
63 Te 0.5415 0.3297 0.9114
64 Te 0.5816 0.8699 0.4114
65 Te 0.9184 0.8297 0.7882
66 Te 0.9184 0.0886 0.6301
67 Te 0.8699 0.2882 0.4585
68 Te 0.1703 0.0886 0.9585
69 Te 0.6301 0.5886 0.9184
70 Te 0.4114 0.0415 0.3297
71 Te 0.2882 0.4184 0.8297
72 Te 0.2118 0.5415 0.6301
73 Te 0.9114 0.0816 0.8699
74 Te 0.6703 0.2118 0.5816
75 Te 0.4585 0.7882 0.8699
76 Te 0.0415 0.4114 0.8297
77 Te 0.4184 0.2882 0.3297
78 Te 0.0415 0.6301 0.7118
79 Te 0.6703 0.4585 0.5886
80 Te 0.2882 0.8699 0.9585

The calculation puts the magnetic moment at 0.000 μB/cell. Its space group is Ia-3d. The final energy is -3.864 eV/atom. The uncorrected formation energy comes out at -0.451 eV/atom. The calculation puts the density of states at the Fermi level at 13.8 states/eV/f.u.



## ZrTaMnFe (PBE)

Data for ZrTaMnFe after structural relaxation.

a = 4.4016 Å, b = 4.4016 Å, c = 4.4016 Å
α = 60.00°, β = 60.00°, γ = 60.00°
Atoms (fractional coordinates):
1 Mn 0.7500 0.7500 0.7500
2 Fe 0.2500 0.2500 0.2500
3 Zr 0.5000 0.5000 0.5000
4 Ta 0.0000 0.0000 0.0000

The calculation puts the magnetic moment at 0.000 μB/cell. Its space group is F-43m. The final energy is -9.658 eV/atom. The calculation puts the formation energy at -149 meV/atom. The calculation puts the density of states at the Fermi level at 1.9 states/eV/f.u.



## KAs2AuBr (PBE)

Data for KAs2AuBr after structural relaxation.

a = 6.6791 Å, b = 6.6791 Å, c = 5.8175 Å
α = 90.00°, β = 90.00°, γ = 90.00°
Each line ends with the local moment (μB).
Atoms (fractional coordinates):
1 As 0.0000 0.5000 0.0000  1.18
2 As 0.5000 0.0000 0.0000  1.18
3 Au 0.5000 0.5000 0.5000  -0.26
4 K 0.0000 0.0000 0.0000  0.04
5 Br 0.0000 0.0000 0.5000  0.12

The calculation puts the magnetic moment at 5.064 μB/cell. Its space group is P4/mmm. As for the energy above the most stable polymorph in this dataset: 110.21 kJ per mole of atoms. The final energy is -1.912 eV/atom. The uncorrected formation energy comes out at 1.158 eV/atom. The calculation puts the density of states at the Fermi level at 1.5 states/eV/f.u.



## Cs2ScTeF6 (PBE)

Data for Cs2ScTeF6 after structural relaxation.

a = 7.3722 Å, b = 7.3722 Å, c = 6.7414 Å
α = 56.85°, β = 56.85°, γ = 90.00°
Each line ends with the local moment (μB).
Atoms (fractional coordinates):
1 Cs 0.7500 0.2500 0.5000  0.00
2 Cs 0.2500 0.7500 0.5000  0.00
3 Sc 0.5000 0.5000 0.0000  0.00
4 Te 0.0000 0.0000 0.0000  0.46
5 F 0.2529 0.2529 0.4942  0.03
6 F 0.7471 0.7471 0.5058  0.03
7 F 0.3078 0.3078 0.0000  0.02
8 F 0.6922 0.6922 0.0000  0.02
9 F 0.6922 0.3078 0.0000  0.02
10 F 0.3078 0.6922 0.0000  0.02

The calculation puts the magnetic moment at 1.000 μB/cell. Its space group is I4/mmm. The final energy is -5.029 eV/atom. The uncorrected formation energy comes out at -2.788 eV/atom. The calculation puts the density of states at the Fermi level at 16.8 states/eV/f.u.



## CdIrPt2 (PBE)

Data for CdIrPt2 after structural relaxation.

a = 3.3720 Å, b = 3.3720 Å, c = 5.8597 Å
α = 90.00°, β = 90.00°, γ = 90.00°
Atoms (fractional coordinates):
1 Ir 0.5000 0.5000 0.7797
2 Pt 0.0000 0.0000 0.9820
3 Pt 0.5000 0.5000 0.2426
4 Cd 0.0000 0.0000 0.4956

The calculation puts the magnetic moment at 0.000 μB/cell. Its space group is P4mm. The final energy is -5.358 eV/atom. The calculation puts the formation energy at 107 meV/atom. The calculation puts the density of states at the Fermi level at 2.9 states/eV/f.u.